1.
Compound: TlOs2Cl
Source: Alexandria
Functional: PBE-GGA
Structure: relaxed

Cell: 4.9570 4.9570 2.9566 Å, 90.00 90.00 107.99°
Element x y z (fractional)
1 Cl 0.0000 0.5000 0.5000
2 Os 0.5000 0.5000 0.0000
3 Os 0.0000 0.0000 0.0000
4 Tl 0.5000 0.0000 0.5000

Calculated values
Spin magnetization, μB/f.u.: 0.0
Formation energy without anion corrections, eV/f.u.: 6.62
Space-group type: Cmmm (65)
Density of states at the Fermi level, states/eV per cell: 4.6



2.
Compound: TlOsCl2
Source: Alexandria
Functional: PBE-GGA
Structure: relaxed

Cell: 10.2238 10.2238 10.2238 Å, 17.45 17.45 17.45°
Element x y z (fractional)
1 Cl 0.0740 0.0740 0.0740
2 Cl 0.9260 0.9260 0.9260
3 Tl 0.5000 0.5000 0.5000
4 Os 0.0000 0.0000 0.0000

Calculated values
Spin magnetization, μB/f.u.: 0.0
Formation energy without anion corrections, eV/f.u.: 0.94
Space-group type: R-3m (166)
Density of states at the Fermi level, states/eV per cell: 3.0



3.
Compound: TlOsCl2
Source: Alexandria
Functional: PBE-GGA
Structure: relaxed

Cell: 6.3625 6.3625 6.3625 Å, 142.61 142.61 53.91°
Last column: magnetic moment on the atom in μB.
Element x y z (fractional)
1 Cl 0.0000 0.0000 0.0000  0.04
2 Cl 0.2500 0.7500 0.5000  0.11
3 Os 0.5000 0.5000 0.0000  2.79
4 Tl 0.7500 0.2500 0.5000  0.05

Calculated values
Spin magnetization, μB/f.u.: 3.4
Formation energy without anion corrections, eV/f.u.: 3.82
Space-group type: I-4m2 (119)
Density of states at the Fermi level, states/eV per cell: 4.8



4.
Compound: TlOs2Cl
Source: Alexandria
Functional: PBE-GGA
Structure: relaxed

Cell: 2.9620 2.9620 10.1701 Å, 90.00 90.00 121.42°
Last column: magnetic moment on the atom in μB.
Element x y z (fractional)
1 Os 0.0000 0.0000 0.0028  0.24
2 Os 0.5000 0.5000 0.2102  0.36
3 Tl 0.0000 0.0000 0.4824  0.00
4 Cl 0.5000 0.5000 0.8046  0.01

Calculated values
Spin magnetization, μB/f.u.: 0.7
Formation energy without anion corrections, eV/f.u.: 3.21
Space-group type: Cmm2 (35)
Density of states at the Fermi level, states/eV per cell: 4.3



| no. | energy (eV for the cell shown) | V (A^3/atom) |
| --- | --- | --- |
| 1 | -20.05 | 17.27 |
| 2 | -16.35 | 20.97 |
| 3 | -13.46 | 23.59 |
| 4 | -23.47 | 19.04 |